(1)
Computed, not measured: an optimized crystal structure of YHoGaPd at the GGA-PBE level of DFT.

CIF file:
```
data_YHoGaPd
_cell_length_a 3.7337
_cell_length_b 4.4730
_cell_length_c 5.8206
_cell_angle_alpha 90.00
_cell_angle_beta 108.71
_cell_angle_gamma 90.00
_symmetry_space_group_name_H-M 'P 1'
_symmetry_Int_Tables_number 1
loop_
_symmetry_equiv_pos_as_xyz
'x,y,z'
loop_
_atom_site_label
_atom_site_type_symbol
_atom_site_fract_x
_atom_site_fract_y
_atom_site_fract_z
Ga1 Ga 0.5772 0.5000 0.1544
Y1 Y 0.1420 0.0000 0.2840
Pd1 Pd 0.4236 0.0000 0.8471
Ho1 Ho 0.8572 0.5000 0.7144
```

Calculated values
* excess energy over the best structure of this formula in the dataset: 0.000 eV per atom
* total moment: 0.00 μB/f.u.

=====

(2)
Computed, not measured: an optimized crystal structure of TmThTiN3 at the GGA-PBE level of DFT.

CIF file:
```
data_TmThTiN3
_cell_length_a 3.3549
_cell_length_b 7.2225
_cell_length_c 7.9727
_cell_angle_alpha 94.44
_cell_angle_beta 90.00
_cell_angle_gamma 90.00
_symmetry_space_group_name_H-M 'P 1'
_symmetry_Int_Tables_number 1
loop_
_symmetry_equiv_pos_as_xyz
'x,y,z'
loop_
_atom_site_label
_atom_site_type_symbol
_atom_site_fract_x
_atom_site_fract_y
_atom_site_fract_z
N1 N 0.2500 0.6062 0.8674
Tm1 Tm 0.7500 0.3732 0.8555
Tm2 Tm 0.2500 0.6268 0.1445
N2 N 0.2500 0.1345 0.8413
N3 N 0.2500 0.8403 0.5532
Ti1 Ti 0.2500 0.1260 0.5815
N4 N 0.7500 0.8655 0.1587
Th1 Th 0.7500 0.8490 0.8242
N5 N 0.7500 0.3938 0.1326
Ti2 Ti 0.7500 0.8740 0.4185
N6 N 0.7500 0.1597 0.4468
Th2 Th 0.2500 0.1510 0.1758
```

Calculated values
* E_form (uncorrected): -1.3566 eV per atom
* total moment: 0.00 μB/f.u.

=====

Number 1: mass density 7.8 g/cm3. Number 2: mass density 8.5 g/cm3.